## w
{"formula": "Na3MnF6", "functional": "PBE+U", "state": "optimized geometry", "lattice_angstrom": [[5.664, 0.000, 0.000], [-2.832, 4.905, 0.000], [0.000, 0.000, 9.868]], "species": ["F", "F", "F", "F", "F", "F", "F", "F", "F", "F", "F", "F", "Mn", "Mn", "Na", "Na", "Na", "Na", "Na", "Na"], "frac_coords": [[0.932, 0.320, 0.867], [0.612, 0.680, 0.133], [0.068, 0.388, 0.133], [0.320, 0.932, 0.133], [0.932, 0.612, 0.633], [0.680, 0.068, 0.633], [0.320, 0.388, 0.367], [0.388, 0.320, 0.633], [0.068, 0.680, 0.367], [0.612, 0.932, 0.367], [0.680, 0.612, 0.867], [0.388, 0.068, 0.867], [0.333, 0.667, 0.250], [0.667, 0.333, 0.750], [0.333, 0.667, 0.938], [0.667, 0.333, 0.062], [0.000, 0.000, 0.500], [0.000, 0.000, 0.000], [0.333, 0.667, 0.562], [0.667, 0.333, 0.438]], "dos_at_fermi_per_ev_cell": 0.00, "spacegroup": "P6_322 (182)"}

---

## x
{"formula": "Na3MnF6", "functional": "PBE+U", "state": "optimized geometry", "lattice_angstrom": [[-0.395, 4.257, 3.837], [-4.967, -1.901, 1.597], [-1.092, -6.582, 7.190]], "species": ["F", "F", "F", "F", "F", "F", "F", "F", "F", "F", "F", "F", "Na", "Na", "Na", "Na", "Na", "Na", "Mn", "Mn"], "frac_coords": [[0.720, 0.906, 0.933], [0.438, 0.355, 0.264], [0.172, 0.777, 0.941], [0.562, 0.645, 0.736], [0.220, 0.094, 0.567], [0.938, 0.645, 0.236], [0.328, 0.777, 0.441], [0.672, 0.223, 0.559], [0.828, 0.223, 0.059], [0.780, 0.906, 0.433], [0.280, 0.094, 0.067], [0.062, 0.355, 0.764], [0.500, 0.500, 0.000], [0.000, 0.500, 0.500], [0.945, 0.758, 0.748], [0.055, 0.242, 0.252], [0.445, 0.242, 0.752], [0.555, 0.758, 0.248], [0.500, 0.000, 0.500], [0.000, 0.000, 0.000]], "dos_at_fermi_per_ev_cell": 0.00, "spacegroup": "P2_1/c (14)"}

---

Energies relative to the most stable structure are w 0.177; x 0.000, reported in eV/atom.

---

## w
{"formula": "MnNbF2", "functional": "PBE+U", "state": "optimized geometry", "lattice_angstrom": [[1.710, 0.000, 7.510], [-0.855, 1.481, 7.510], [-0.855, -1.481, 7.510]], "species": ["Mn", "F", "F", "Nb"], "frac_coords": [[0.500, 0.500, 0.500], [0.100, 0.100, 0.100], [0.900, 0.900, 0.900], [0.000, 0.000, 0.000]], "dos_at_fermi_per_ev_cell": 2.55, "spacegroup": "R-3m (166)"}

---

## x
{"formula": "MnNbF2", "functional": "PBE+U", "state": "optimized geometry", "lattice_angstrom": [[0.897, -3.222, 2.720], [1.095, 0.865, 4.079], [-2.724, -0.935, 3.207]], "species": ["Mn", "F", "F", "Nb"], "frac_coords": [[0.000, 0.000, 0.000], [0.750, 0.750, 0.750], [0.250, 0.250, 0.250], [0.500, 0.500, 0.500]], "dos_at_fermi_per_ev_cell": 1.27, "spacegroup": "Fm-3m (225)"}

---

## y
{"formula": "MnNbF2", "functional": "PBE+U", "state": "optimized geometry", "lattice_angstrom": [[5.096, 0.000, 0.000], [0.000, 5.096, 0.000], [2.548, 2.548, 5.200]], "species": ["F", "F", "F", "F", "Nb", "Nb", "Mn", "Mn"], "frac_coords": [[0.375, 0.392, 0.750], [0.608, 0.125, 0.250], [0.875, 0.858, 0.750], [0.142, 0.625, 0.250], [0.000, 0.000, 0.000], [0.750, 0.250, 0.500], [0.500, 0.500, 0.000], [0.250, 0.750, 0.500]], "dos_at_fermi_per_ev_cell": 0.10, "spacegroup": "I-42d (122)"}

---

Energies relative to the most stable structure are w 0.000; x 0.659; y 0.400, reported in eV/atom.

---

## w
{"formula": "MnNb2F", "functional": "PBE+U", "state": "optimized geometry", "lattice_angstrom": [[-2.773, 3.787, 0.458], [-3.649, -2.469, -1.683], [-4.655, -1.087, 5.081]], "species": ["F", "F", "Mn", "Mn", "Nb", "Nb", "Nb", "Nb"], "frac_coords": [[0.250, 0.750, 0.500], [0.500, 0.500, 0.000], [0.750, 0.250, 0.500], [0.000, 0.000, 0.000], [0.875, 0.846, 0.750], [0.375, 0.404, 0.750], [0.154, 0.625, 0.250], [0.596, 0.125, 0.250]], "dos_at_fermi_per_ev_cell": 5.12, "spacegroup": "I-42d (122)"}

---

## x
{"formula": "MnNb2F", "functional": "PBE+U", "state": "optimized geometry", "lattice_angstrom": [[1.419, -4.094, -0.017], [-1.905, -2.943, -2.546], [2.095, -1.552, -3.460]], "species": ["F", "Nb", "Nb", "Mn"], "frac_coords": [[0.000, 0.000, 0.000], [0.250, 0.250, 0.250], [0.750, 0.750, 0.750], [0.500, 0.500, 0.500]], "dos_at_fermi_per_ev_cell": 4.86, "spacegroup": "Fm-3m (225)"}

---

Energies relative to the most stable structure are w 0.254; x 0.000, reported in eV/atom.

---

## w
{"formula": "MnNiOF2", "functional": "PBE+U", "state": "optimized geometry", "lattice_angstrom": [[4.021, 0.000, 0.000], [0.000, 4.021, 0.000], [0.000, 0.000, 3.827]], "species": ["O", "Mn", "Ni", "F", "F"], "frac_coords": [[0.000, 0.000, 0.500], [0.000, 0.000, 0.000], [0.500, 0.500, 0.500], [0.500, 0.000, 0.000], [0.000, 0.500, 0.000]], "dos_at_fermi_per_ev_cell": 3.08, "spacegroup": "P4/mmm (123)"}

---

## x
{"formula": "MnNiOF2", "functional": "PBE+U", "state": "optimized geometry", "lattice_angstrom": [[3.826, 0.000, 0.000], [0.000, 3.826, 0.000], [0.000, 0.000, 4.078]], "species": ["F", "F", "Mn", "Ni", "O"], "frac_coords": [[0.000, 0.500, 0.000], [0.500, 0.000, 0.000], [0.500, 0.500, 0.500], [0.000, 0.000, 0.000], [0.000, 0.000, 0.500]], "dos_at_fermi_per_ev_cell": 0.07, "spacegroup": "P4/mmm (123)"}

---

Energies relative to the most stable structure are w 0.195; x 0.000, reported in eV/atom.